#a
The following is a DFT calculation (meta-GGA SCAN) of NbTlSN2 at its PBEsol-relaxed geometry.

a b c (Å): 4.088 4.088 5.148
angles (deg): 90.00 90.00 90.00
Fractional positions:
Nb: 0.000 0.000 0.000
Tl: 0.500 0.500 0.500
S: 0.500 0.500 0.000
N: 0.000 0.500 0.500
N: 0.500 0.000 0.500

Calculated values
V in Å³/cell: 86
SG: P4/mmm
Magnetic moment in Bohr magnetons per cell: 0.44
Crystal system: tetragonal

#b
The following is a DFT calculation (meta-GGA SCAN) of NbTlSN2 at its PBEsol-relaxed geometry.

a b c (Å): 4.031 4.031 5.169
angles (deg): 90.00 90.00 90.00
Fractional positions:
Nb: 0.000 0.000 0.000
Tl: 0.500 0.500 0.500
S: 0.000 0.000 0.500
N: 0.000 0.500 0.000
N: 0.500 0.000 0.000

Calculated values
V in Å³/cell: 84
SG: P4/mmm
Magnetic moment in Bohr magnetons per cell: 1.10
Crystal system: tetragonal

#b takes first place; second place is 1710 meV/atom up.

#a
The following is a DFT calculation (meta-GGA SCAN) of RbNi3N at its PBEsol-relaxed geometry.

a b c (Å): 3.982 3.982 3.982
angles (deg): 90.00 90.00 90.00
Fractional positions:
Rb: 0.000 0.000 0.000
Ni: 0.000 0.500 0.500
Ni: 0.500 0.000 0.500
Ni: 0.500 0.500 0.000
N: 0.500 0.500 0.500

Calculated values
V in Å³/cell: 63
SG: Pm-3m
Magnetic moment in Bohr magnetons per cell: 2.01
Crystal system: cubic

#b
The following is a DFT calculation (meta-GGA SCAN) of RbNi3N at its PBEsol-relaxed geometry.

a b c (Å): 4.467 4.467 4.467
angles (deg): 90.00 90.00 90.00
Fractional positions:
Rb: 0.000 0.000 0.000
Ni: 0.000 0.000 0.500
Ni: 0.000 0.500 0.000
Ni: 0.500 0.000 0.000
N: 0.500 0.500 0.500

Calculated values
V in Å³/cell: 89
SG: Pm-3m
Magnetic moment in Bohr magnetons per cell: 2.45
Crystal system: cubic

#a takes first place; second place is 2625 meV/atom up.

#a
The following is a DFT calculation (meta-GGA SCAN) of PtSe2NO at its PBEsol-relaxed geometry.

a b c (Å): 5.104 5.104 3.587
angles (deg): 90.00 90.00 90.00
Fractional positions:
Pt: 0.000 0.000 0.000
Se: 0.000 0.500 0.000
Se: 0.500 0.000 0.000
N: 0.000 0.000 0.500
O: 0.500 0.500 0.500

Calculated values
V in Å³/cell: 93
SG: P4/mmm
Magnetic moment in Bohr magnetons per cell: 3.46
Crystal system: tetragonal

#b
The following is a DFT calculation (meta-GGA SCAN) of PtSe2NO at its PBEsol-relaxed geometry.

a b c (Å): 4.429 4.429 3.529
angles (deg): 90.00 90.00 90.00
Fractional positions:
Pt: 0.000 0.000 0.000
Se: 0.000 0.500 0.500
Se: 0.500 0.000 0.500
N: 0.500 0.500 0.000
O: 0.500 0.500 0.500

Calculated values
V in Å³/cell: 69
SG: P4/mmm
Magnetic moment in Bohr magnetons per cell: 1.92
Crystal system: tetragonal

#a takes first place; second place is 260 meV/atom up.

#a
The following is a DFT calculation (meta-GGA SCAN) of SbTeOsN2 at its PBEsol-relaxed geometry.

a b c (Å): 3.912 3.912 6.277
angles (deg): 90.00 90.00 90.00
Fractional positions:
Sb: 0.000 0.000 0.000
Te: 0.000 0.000 0.500
Os: 0.500 0.500 0.500
N: 0.000 0.500 0.000
N: 0.500 0.000 0.000

Calculated values
V in Å³/cell: 96
SG: P4/mmm
Magnetic moment in Bohr magnetons per cell: 3.82
Crystal system: tetragonal

#b
The following is a DFT calculation (meta-GGA SCAN) of SbTeOsN2 at its PBEsol-relaxed geometry.

a b c (Å): 3.937 3.937 5.687
angles (deg): 90.00 90.00 90.00
Fractional positions:
Sb: 0.000 0.000 0.000
Te: 0.500 0.500 0.000
Os: 0.500 0.500 0.500
N: 0.000 0.500 0.500
N: 0.500 0.000 0.500

Calculated values
V in Å³/cell: 88
SG: P4/mmm
Magnetic moment in Bohr magnetons per cell: 1.09
Crystal system: tetragonal

#b takes first place; second place is 1011 meV/atom up.

#a
The following is a DFT calculation (meta-GGA SCAN) of TeP2SN at its PBEsol-relaxed geometry.

a b c (Å): 5.165 5.165 5.009
angles (deg): 90.00 90.00 90.00
Fractional positions:
Te: 0.000 0.000 0.000
P: 0.000 0.500 0.000
P: 0.500 0.000 0.000
S: 0.000 0.000 0.500
N: 0.500 0.500 0.500

Calculated values
V in Å³/cell: 134
SG: P4/mmm
Magnetic moment in Bohr magnetons per cell: 0.27
Crystal system: tetragonal

#b
The following is a DFT calculation (meta-GGA SCAN) of TeP2SN at its PBEsol-relaxed geometry.

a b c (Å): 4.192 4.192 4.228
angles (deg): 90.00 90.00 90.00
Fractional positions:
Te: 0.000 0.000 0.000
P: 0.000 0.500 0.500
P: 0.500 0.000 0.500
S: 0.500 0.500 0.000
N: 0.500 0.500 0.500

Calculated values
V in Å³/cell: 74
SG: P4/mmm
Magnetic moment in Bohr magnetons per cell: 0.00
Crystal system: tetragonal

#b takes first place; second place is 952 meV/atom up.

#a
The following is a DFT calculation (meta-GGA SCAN) of TiPS2N at its PBEsol-relaxed geometry.

a b c (Å): 4.593 4.593 3.253
angles (deg): 90.00 90.00 90.00
Fractional positions:
Ti: 0.000 0.000 0.000
P: 0.500 0.500 0.500
S: 0.000 0.500 0.500
S: 0.500 0.000 0.500
N: 0.500 0.500 0.000

Calculated values
V in Å³/cell: 69
SG: P4/mmm
Magnetic moment in Bohr magnetons per cell: 1.81
Crystal system: tetragonal

#b
The following is a DFT calculation (meta-GGA SCAN) of TiPS2N at its PBEsol-relaxed geometry.

a b c (Å): 4.577 4.577 4.756
angles (deg): 90.00 90.00 90.00
Fractional positions:
Ti: 0.000 0.000 0.000
P: 0.000 0.000 0.500
S: 0.000 0.500 0.000
S: 0.500 0.000 0.000
N: 0.500 0.500 0.500

Calculated values
V in Å³/cell: 100
SG: P4/mmm
Magnetic moment in Bohr magnetons per cell: 1.80
Crystal system: tetragonal

#a takes first place; second place is 749 meV/atom up.

#a
The following is a DFT calculation (meta-GGA SCAN) of YPS2N at its PBEsol-relaxed geometry.

a b c (Å): 5.178 5.178 4.273
angles (deg): 90.00 90.00 90.00
Fractional positions:
Y: 0.000 0.000 0.000
P: 0.500 0.500 0.500
S: 0.000 0.500 0.000
S: 0.500 0.000 0.000
N: 0.000 0.000 0.500

Calculated values
V in Å³/cell: 115
SG: P4/mmm
Magnetic moment in Bohr magnetons per cell: 3.00
Crystal system: tetragonal

#b
The following is a DFT calculation (meta-GGA SCAN) of YPS2N at its PBEsol-relaxed geometry.

a b c (Å): 5.180 5.180 5.405
angles (deg): 90.00 90.00 90.00
Fractional positions:
Y: 0.000 0.000 0.000
P: 0.000 0.000 0.500
S: 0.000 0.500 0.000
S: 0.500 0.000 0.000
N: 0.500 0.500 0.500

Calculated values
V in Å³/cell: 145
SG: P4/mmm
Magnetic moment in Bohr magnetons per cell: 2.46
Crystal system: tetragonal

#a takes first place; second place is 281 meV/atom up.

#a
The following is a DFT calculation (meta-GGA SCAN) of ZrPS2N at its PBEsol-relaxed geometry.

a b c (Å): 5.009 5.009 3.853
angles (deg): 90.00 90.00 90.00
Fractional positions:
Zr: 0.000 0.000 0.000
P: 0.500 0.500 0.500
S: 0.000 0.500 0.000
S: 0.500 0.000 0.000
N: 0.000 0.000 0.500

Calculated values
V in Å³/cell: 97
SG: P4/mmm
Magnetic moment in Bohr magnetons per cell: 0.06
Crystal system: tetragonal

#b
The following is a DFT calculation (meta-GGA SCAN) of ZrPS2N at its PBEsol-relaxed geometry.

a b c (Å): 4.604 4.604 3.333
angles (deg): 90.00 90.00 90.00
Fractional positions:
Zr: 0.000 0.000 0.000
P: 0.500 0.500 0.500
S: 0.000 0.500 0.500
S: 0.500 0.000 0.500
N: 0.500 0.500 0.000

Calculated values
V in Å³/cell: 71
SG: P4/mmm
Magnetic moment in Bohr magnetons per cell: 0.00
Crystal system: tetragonal

#b takes first place; second place is 466 meV/atom up.

#a
The following is a DFT calculation (meta-GGA SCAN) of SbTePN2 at its PBEsol-relaxed geometry.

a b c (Å): 3.951 3.951 6.443
angles (deg): 90.00 90.00 90.00
Fractional positions:
Sb: 0.000 0.000 0.000
Te: 0.000 0.000 0.500
P: 0.500 0.500 0.500
N: 0.000 0.500 0.000
N: 0.500 0.000 0.000

Calculated values
V in Å³/cell: 101
SG: P4/mmm
Magnetic moment in Bohr magnetons per cell: 2.25
Crystal system: tetragonal

#b
The following is a DFT calculation (meta-GGA SCAN) of SbTePN2 at its PBEsol-relaxed geometry.

a b c (Å): 3.916 3.916 5.052
angles (deg): 90.00 90.00 90.00
Fractional positions:
Sb: 0.000 0.000 0.000
Te: 0.500 0.500 0.000
P: 0.500 0.500 0.500
N: 0.000 0.500 0.500
N: 0.500 0.000 0.500

Calculated values
V in Å³/cell: 77
SG: P4/mmm
Magnetic moment in Bohr magnetons per cell: 1.23
Crystal system: tetragonal

#b takes first place; second place is 63 meV/atom up.

#a
The following is a DFT calculation (meta-GGA SCAN) of PdPbS2N at its PBEsol-relaxed geometry.

a b c (Å): 5.124 5.124 4.189
angles (deg): 90.00 90.00 90.00
Fractional positions:
Pd: 0.000 0.000 0.000
Pb: 0.500 0.500 0.500
S: 0.000 0.500 0.500
S: 0.500 0.000 0.500
N: 0.500 0.500 0.000

Calculated values
V in Å³/cell: 110
SG: P4/mmm
Magnetic moment in Bohr magnetons per cell: 3.33
Crystal system: tetragonal

#b
The following is a DFT calculation (meta-GGA SCAN) of PdPbS2N at its PBEsol-relaxed geometry.

a b c (Å): 4.967 4.967 3.680
angles (deg): 90.00 90.00 90.00
Fractional positions:
Pd: 0.000 0.000 0.000
Pb: 0.500 0.500 0.500
S: 0.000 0.500 0.000
S: 0.500 0.000 0.000
N: 0.000 0.000 0.500

Calculated values
V in Å³/cell: 91
SG: P4/mmm
Magnetic moment in Bohr magnetons per cell: 0.00
Crystal system: tetragonal

#b takes first place; second place is 984 meV/atom up.

#a
The following is a DFT calculation (meta-GGA SCAN) of PbSe2N2 at its PBEsol-relaxed geometry.

a b c (Å): 4.239 4.239 5.833
angles (deg): 90.00 90.00 90.00
Fractional positions:
Pb: 0.000 0.000 0.000
Se: 0.000 0.000 0.500
Se: 0.500 0.500 0.500
N: 0.000 0.500 0.000
N: 0.500 0.000 0.000

Calculated values
V in Å³/cell: 105
SG: P4/mmm
Magnetic moment in Bohr magnetons per cell: 3.29
Crystal system: tetragonal

#b
The following is a DFT calculation (meta-GGA SCAN) of PbSe2N2 at its PBEsol-relaxed geometry.

a b c (Å): 4.031 4.031 5.180
angles (deg): 90.00 90.00 90.00
Fractional positions:
Pb: 0.000 0.000 0.000
Se: 0.500 0.500 0.000
Se: 0.500 0.500 0.500
N: 0.000 0.500 0.500
N: 0.500 0.000 0.500

Calculated values
V in Å³/cell: 84
SG: P4/mmm
Magnetic moment in Bohr magnetons per cell: 1.63
Crystal system: tetragonal

#b takes first place; second place is 402 meV/atom up.

#a
The following is a DFT calculation (meta-GGA SCAN) of PdRuN2 at its PBEsol-relaxed geometry.

a b c (Å): 3.794 3.794 3.794
angles (deg): 60.00 60.00 60.00
Fractional positions:
Pd: 0.000 0.000 0.000
Ru: 0.500 0.500 0.500
N: 0.250 0.250 0.250
N: 0.750 0.750 0.750

Calculated values
V in Å³/cell: 39
SG: Fm-3m
Magnetic moment in Bohr magnetons per cell: 0.00
Crystal system: cubic

#b
The following is a DFT calculation (meta-GGA SCAN) of PdRuN2 at its PBEsol-relaxed geometry.

a b c (Å): 6.550 6.550 6.550
angles (deg): 24.80 24.80 24.80
Fractional positions:
Pd: 0.000 0.000 0.000
Ru: 0.500 0.500 0.500
N: 0.102 0.102 0.102
N: 0.898 0.898 0.898

Calculated values
V in Å³/cell: 43
SG: R-3m
Magnetic moment in Bohr magnetons per cell: 0.01
Crystal system: trigonal

#b takes first place; second place is 957 meV/atom up.

#a
The following is a DFT calculation (meta-GGA SCAN) of PtRhSeN2 at its PBEsol-relaxed geometry.

a b c (Å): 3.665 3.665 5.611
angles (deg): 90.00 90.00 90.00
Fractional positions:
Pt: 0.000 0.000 0.000
Rh: 0.500 0.500 0.500
Se: 0.500 0.500 0.000
N: 0.000 0.500 0.500
N: 0.500 0.000 0.500

Calculated values
V in Å³/cell: 75
SG: P4/mmm
Magnetic moment in Bohr magnetons per cell: 0.00
Crystal system: tetragonal

#b
The following is a DFT calculation (meta-GGA SCAN) of PtRhSeN2 at its PBEsol-relaxed geometry.

a b c (Å): 3.625 3.625 7.061
angles (deg): 90.00 90.00 90.00
Fractional positions:
Pt: 0.000 0.000 0.000
Rh: 0.500 0.500 0.500
Se: 0.000 0.000 0.500
N: 0.000 0.500 0.000
N: 0.500 0.000 0.000

Calculated values
V in Å³/cell: 93
SG: P4/mmm
Magnetic moment in Bohr magnetons per cell: 0.00
Crystal system: tetragonal

#a takes first place; second place is 121 meV/atom up.

#a
The following is a DFT calculation (meta-GGA SCAN) of ScTe2PtN at its PBEsol-relaxed geometry.

a b c (Å): 5.493 5.493 3.679
angles (deg): 90.00 90.00 90.00
Fractional positions:
Sc: 0.000 0.000 0.000
Te: 0.000 0.500 0.000
Te: 0.500 0.000 0.000
Pt: 0.500 0.500 0.500
N: 0.000 0.000 0.500

Calculated values
V in Å³/cell: 111
SG: P4/mmm
Magnetic moment in Bohr magnetons per cell: 0.00
Crystal system: tetragonal

#b
The following is a DFT calculation (meta-GGA SCAN) of ScTe2PtN at its PBEsol-relaxed geometry.

a b c (Å): 5.473 5.473 3.684
angles (deg): 90.00 90.00 90.00
Fractional positions:
Sc: 0.000 0.000 0.000
Te: 0.000 0.500 0.500
Te: 0.500 0.000 0.500
Pt: 0.500 0.500 0.500
N: 0.500 0.500 0.000

Calculated values
V in Å³/cell: 110
SG: P4/mmm
Magnetic moment in Bohr magnetons per cell: 0.31
Crystal system: tetragonal

#b takes first place; second place is 554 meV/atom up.